# 1
# NiHC2N | Alexandria via LeMat-Bulk | GGA-PBEsol | relaxed
# Electronic total energy   -5.83 eV per atom
# Mass density   5.25 Mg/m³
data_NiHC2N
_symmetry_space_group_name_H-M 'P 4/m m m'
_symmetry_Int_Tables_number 123
_symmetry_space_group_name_Hall '-P 4 2'
_cell_length_a 3.5775
_cell_length_b 3.5775
_cell_length_c 2.4133
_cell_angle_alpha 90.00
_cell_angle_beta 90.00
_cell_angle_gamma 90.00
loop_
_atom_site_label
_atom_site_fract_x
_atom_site_fract_y
_atom_site_fract_z
_atom_site_occupancy
Ni1 0.0000 0.0000 0.0000 1
H1 0.5000 0.5000 0.0000 1
C1 0.0000 0.5000 0.5000 1
N1 0.5000 0.5000 0.5000 1

---

# 2
# AlZnP2 | Alexandria via LeMat-Bulk | GGA-PBEsol | relaxed
# DFT formation energy   -102 meV per atom
# Mass density   4.05 Mg/m³
data_AlZnP2
_symmetry_space_group_name_H-M 'C 1 2/m 1'
_symmetry_Int_Tables_number 12
_cell_length_a 6.1817
_cell_length_b 3.5599
_cell_length_c 6.0815
_cell_angle_alpha 90.00
_cell_angle_beta 109.13
_cell_angle_gamma 90.00
loop_
_symmetry_equiv_pos_as_xyz
'x,y,z'
'-x,-y,-z'
'-x,y,-z'
'x,-y,z'
'x+1/2,y+1/2,z'
'-x+1/2,-y+1/2,-z'
'-x+1/2,y+1/2,-z'
'x+1/2,-y+1/2,z'
loop_
_atom_site_label
_atom_site_fract_x
_atom_site_fract_y
_atom_site_fract_z
_atom_site_occupancy
Al1 0.0000 0.0000 0.0000 1
Zn1 0.0000 0.5000 0.5000 1
P1 0.2434 0.5000 0.2467 1

---

# 3
# Zn2InPt | Alexandria via LeMat-Bulk | GGA-PBEsol | relaxed
# DFT formation energy   -262 meV per atom
# Mass density   11.72 Mg/m³
data_Zn2InPt
_symmetry_space_group_name_H-M 'I -4 m 2'
_symmetry_Int_Tables_number 119
_symmetry_space_group_name_Hall 'I -4 -2'
_cell_length_a 3.9874
_cell_length_b 3.9874
_cell_length_c 7.8568
_cell_angle_alpha 90.00
_cell_angle_beta 90.00
_cell_angle_gamma 90.00
loop_
_atom_site_label
_atom_site_fract_x
_atom_site_fract_y
_atom_site_fract_z
_atom_site_occupancy
Zn1 0.0000 0.0000 0.0000 1
Zn2 0.0000 0.5000 0.2500 1
In1 0.0000 0.0000 0.5000 1
Pt1 0.0000 0.5000 0.7500 1

---

# 4
# FeTcTeOs2 | Alexandria via LeMat-Bulk | GGA-PBEsol | relaxed
# Electronic total energy   -7.04 eV per atom
# Mass density   10.45 Mg/m³
data_FeTcTeOs2
_symmetry_space_group_name_H-M 'P 4/m m m'
_symmetry_Int_Tables_number 123
_symmetry_space_group_name_Hall '-P 4 2'
_cell_length_a 4.7175
_cell_length_b 4.7175
_cell_length_c 4.7240
_cell_angle_alpha 90.00
_cell_angle_beta 90.00
_cell_angle_gamma 90.00
loop_
_atom_site_label
_atom_site_fract_x
_atom_site_fract_y
_atom_site_fract_z
_atom_site_occupancy
Fe1 0.0000 0.0000 0.0000 1
Tc1 0.5000 0.5000 0.0000 1
Te1 0.5000 0.5000 0.5000 1
Os1 0.0000 0.5000 0.5000 1